Below is NdDySi2Os after structural relaxation, with properties calculated at the PBE-GGA level.

Results
Theoretical density   8.81 Mg/m³
Relative energy among the computed polymorphs   0.51 kcal/mol of atoms
Calculated volume   208.6 Å³/cell
Size of the total moment   0.010 μB per formula unit

```
NdDySi2Os
1.0
5.568 -2.126 0.000
5.568 2.126 0.000
-5.149 0.000 8.811
Nd Dy Si Os
2 2 4 2
direct
0.015 0.015 0.182 Nd
0.985 0.985 0.818 Nd
0.179 0.179 0.608 Dy
0.821 0.821 0.392 Dy
0.344 0.344 0.935 Si
0.497 0.497 0.375 Si
0.503 0.503 0.625 Si
0.656 0.656 0.065 Si
0.275 0.275 0.127 Os
0.725 0.725 0.873 Os
```

***

Below is NdDySi4Os2 after structural relaxation, with properties calculated at the PBE-GGA level.

Results
Theoretical density   9.03 Mg/m³
Calculated volume   147.1 Å³/cell
Final energy   -59.4 eV/cell
Size of the total moment   0.003 μB per formula unit

```
NdDySi4Os2
1.0
4.458 0.000 0.000
0.000 4.118 0.000
-1.700 0.000 8.013
Nd Dy Si Os
1 1 4 2
direct
0.000 0.000 0.000 Nd
0.180 0.500 0.404 Dy
0.251 0.000 0.692 Si
0.549 0.500 0.109 Si
0.625 0.000 0.290 Si
0.921 0.500 0.702 Si
0.469 0.500 0.812 Os
0.702 0.000 0.583 Os
```